(1)
## Sr4Nb2O9 (GGA-PBEsol)

Data for Sr4Nb2O9 after structural relaxation.

The structure in CIF format:
```
data_Sr4Nb2O9
_cell_length_a 10.235
_cell_length_b 10.235
_cell_length_c 10.061
_cell_angle_alpha 99.90
_cell_angle_beta 99.90
_cell_angle_gamma 119.77
_space_group_name_H-M_alt 'P 1'
_space_group_IT_number 1
loop_
_space_group_symop_operation_xyz
'x,y,z'
loop_
_atom_site_label
_atom_site_type_symbol
_atom_site_fract_x
_atom_site_fract_y
_atom_site_fract_z
Sr1 Sr 0.064 0.213 0.625
Sr2 Sr 0.107 0.893 0.750
Sr3 Sr 0.150 0.602 0.873
Sr4 Sr 0.213 0.064 0.125
Sr5 Sr 0.246 0.754 0.250
Sr6 Sr 0.305 0.467 0.367
Sr7 Sr 0.398 0.850 0.627
Sr8 Sr 0.467 0.305 0.867
Sr9 Sr 0.533 0.695 0.133
Sr10 Sr 0.602 0.150 0.373
Sr11 Sr 0.695 0.533 0.633
Sr12 Sr 0.754 0.246 0.750
Sr13 Sr 0.787 0.936 0.875
Sr14 Sr 0.850 0.398 0.127
Sr15 Sr 0.893 0.107 0.250
Sr16 Sr 0.936 0.787 0.375
Nb1 Nb 0.000 0.500 0.500
Nb2 Nb 0.163 0.319 0.988
Nb3 Nb 0.319 0.163 0.488
Nb4 Nb 0.422 0.578 0.750
Nb5 Nb 0.500 0.000 0.000
Nb6 Nb 0.578 0.422 0.250
Nb7 Nb 0.681 0.837 0.512
Nb8 Nb 0.837 0.681 0.012
O1 O 0.014 0.314 0.840
O2 O 0.029 0.403 0.328
O3 O 0.030 0.169 0.067
O4 O 0.129 0.712 0.475
O5 O 0.167 0.188 0.366
O6 O 0.169 0.030 0.567
O7 O 0.188 0.167 0.866
O8 O 0.206 0.534 0.635
O9 O 0.221 0.526 0.106
O10 O 0.288 0.871 0.025
O11 O 0.314 0.014 0.340
O12 O 0.338 0.486 0.895
O13 O 0.365 0.367 0.643
O14 O 0.367 0.365 0.143
O15 O 0.403 0.029 0.828
O16 O 0.466 0.794 0.865
O17 O 0.474 0.779 0.394
O18 O 0.486 0.338 0.395
O19 O 0.514 0.662 0.605
O20 O 0.526 0.221 0.606
O21 O 0.534 0.206 0.135
O22 O 0.597 0.971 0.172
O23 O 0.633 0.635 0.857
O24 O 0.635 0.633 0.357
O25 O 0.662 0.514 0.105
O26 O 0.686 0.986 0.660
O27 O 0.712 0.129 0.975
O28 O 0.779 0.474 0.894
O29 O 0.794 0.466 0.365
O30 O 0.812 0.833 0.134
O31 O 0.831 0.970 0.433
O32 O 0.833 0.812 0.634
O33 O 0.871 0.288 0.525
O34 O 0.970 0.831 0.933
O35 O 0.971 0.597 0.672
O36 O 0.986 0.686 0.160
```

Crystal system: monoclinic
E_tot, eV per atom: -7.962
SG: C2/c, No. 15
Size of the total moment, μB per formula unit: 0.0
E_form (uncorrected), meV per atom: -2879
Relative energy among the computed polymorphs, meV/atom: 8



(2)
## Sr2TbNbO6 (GGA-PBEsol)

Data for Sr2TbNbO6 after structural relaxation.

The structure in CIF format:
```
data_Sr2TbNbO6
_cell_length_a 5.921
_cell_length_b 5.921
_cell_length_c 5.921
_cell_angle_alpha 60.00
_cell_angle_beta 60.00
_cell_angle_gamma 60.00
_space_group_name_H-M_alt 'P 1'
_space_group_IT_number 1
loop_
_space_group_symop_operation_xyz
'x,y,z'
loop_
_atom_site_label
_atom_site_type_symbol
_atom_site_fract_x
_atom_site_fract_y
_atom_site_fract_z
Sr1 Sr 0.250 0.250 0.250
Sr2 Sr 0.750 0.750 0.750
Tb1 Tb 0.000 0.000 0.000
Nb1 Nb 0.500 0.500 0.500
O1 O 0.262 0.262 0.738
O2 O 0.262 0.738 0.262
O3 O 0.262 0.738 0.738
O4 O 0.738 0.262 0.262
O5 O 0.738 0.262 0.738
O6 O 0.738 0.738 0.262
```

Crystal system: cubic
E_tot, eV per atom: -8.104
SG: Fm-3m, No. 225
Size of the total moment, μB per formula unit: 0.0
E_form (uncorrected), meV per atom: -3003